Compound: Rb8SbHAu2
Source: the Alexandria database
Functional: PBE
Structure: relaxed

The structure in CIF format:
```
data_Rb8SbHAu2
_chemical_formula_sum 'Rb8 Sb1 H1 Au2'
_cell_length_a 8.081
_cell_length_b 10.045
_cell_length_c 8.115
_cell_angle_alpha 90.00
_cell_angle_beta 91.05
_cell_angle_gamma 90.00
_space_group_name_H-M_alt 'P 1 2/m 1'
_space_group_IT_number 10
_space_group_name_Hall '-P 2y'
loop_
_atom_site_label
_atom_site_type_symbol
_atom_site_fract_x
_atom_site_fract_y
_atom_site_fract_z
Rb1 Rb 0.214 0.222 0.168
Rb2 Rb 0.250 0.000 0.708
Rb3 Rb 0.275 0.500 0.661
Sb1 Sb 0.000 0.500 0.000
H1 H 0.000 0.000 0.000
Au1 Au 0.500 0.228 0.500
```

Computed properties:
For the total energy, the calculation gives -0.073 Ha/atom. Its magnetization is 0.9 Bohr magnetons per cell.